[1]
A relaxed structure of K3NaTl2Br6. Source: Alexandria, functional PBE-GGA.

Summary:
Uncorrected formation energy (meV per atom): -1410.8
Total DFT energy (no corrections) (eV per cell): -36.31
Calculated volume (Å³/f.u.): 435
Magnetic moment (μB per cell): 0.00

```
K3NaTl2Br6
1.0
4.068 -7.037 0.000
4.068 7.037 0.000
-2.722 0.000 7.594
K Na Tl Br
3 1 2 6
Cartesian
0.000 0.000 0.000 K
4.068 2.406 0.000 K
4.068 -2.406 0.000 K
2.707 0.000 3.797 Na
2.707 4.710 3.797 Tl
2.707 -4.710 3.797 Tl
1.429 2.214 1.938 Br
0.165 0.000 5.640 Br
1.429 -2.214 1.938 Br
3.984 2.214 5.656 Br
5.248 0.000 1.954 Br
3.984 -2.214 5.656 Br
```



[2]
A relaxed structure of KNa2TlBr4. Source: Alexandria, functional PBE-GGA.

Summary:
Uncorrected formation energy (meV per atom): -1420.6
Total DFT energy (no corrections) (eV per cell): -24.16
Calculated volume (Å³/f.u.): 260
Magnetic moment (μB per cell): 0.00

```
KNa2TlBr4
1.0
7.753 0.000 0.000
0.000 4.475 0.000
-2.588 0.000 7.482
K Na Tl Br
1 2 1 4
Cartesian
0.000 0.000 0.000 K
-1.294 2.238 3.741 Na
2.583 0.000 3.741 Na
3.876 2.238 0.000 Tl
-0.020 0.000 5.380 Br
1.274 2.238 2.080 Br
3.892 2.238 5.402 Br
5.185 0.000 2.103 Br
```



[3]
A relaxed structure of KNa2Tl3Br6. Source: Alexandria, functional PBE-GGA.

Summary:
Uncorrected formation energy (meV per atom): -1228.4
Total DFT energy (no corrections) (eV per cell): -35.61
Calculated volume (Å³/f.u.): 414
Magnetic moment (μB per cell): 0.00

```
KNa2Tl3Br6
1.0
10.054 -2.287 0.000
10.054 2.287 0.000
-2.289 0.000 9.004
K Na Tl Br
1 2 3 6
Cartesian
0.000 0.000 0.000 K
5.113 0.000 5.967 Na
12.707 0.000 3.037 Na
-1.144 0.000 4.502 Tl
6.327 0.000 1.556 Tl
11.493 0.000 7.449 Tl
3.168 0.000 0.957 Br
2.208 0.000 5.107 Br
8.058 0.000 6.719 Br
9.762 0.000 2.285 Br
15.612 0.000 3.897 Br
14.652 0.000 8.047 Br
```